Record 1
PBE-GGA Ac8Ni4Pt, relaxed; E_form = -0.31 eV per atom; total magnetic moment = 0.00 μB per cell
1.0
10.095 -2.001 0.000
10.095 2.001 0.000
-10.068 0.000 10.124
Ac Ni Pt
8 4 1
Cartesian
0.000 0.000 0.000
-4.765 0.000 4.939
-6.749 0.000 8.049
-1.673 0.000 6.943
-3.653 0.000 10.052
1.649 0.000 4.869
8.508 0.000 3.251
13.338 0.000 1.620
5.213 0.000 2.732
1.134 0.000 8.158
10.630 0.000 6.832
16.646 0.000 2.136
5.884 0.000 7.496

=====

Record 2
PBE-GGA TiCo3H, relaxed; total magnetic moment = 4.04 μB per cell; DFT total energy = -6.723 eV per atom
1.0
4.484 0.000 0.000
1.405 4.929 0.000
1.403 2.241 4.410
Ti Co H
2 6 2
Cartesian
0.000 0.000 0.000
2.585 1.922 1.179
4.122 5.418 3.261
3.493 3.016 3.281
3.495 4.311 1.179
6.371 4.778 4.393
4.972 1.149 2.235
5.702 3.682 2.190
5.453 6.371 3.888
4.932 3.925 3.788

=====

Record 3
PBE-GGA AgIr3Ru, relaxed; E_form = 1.76 eV per atom; total magnetic moment = 0.00 μB per cell
1.0
4.697 0.000 0.000
0.000 4.697 0.000
0.000 0.000 4.697
Ag Ir Ru
1 3 1
Cartesian
0.000 0.000 0.000
0.000 2.349 2.349
2.349 0.000 2.349
2.349 2.349 0.000
2.349 2.349 2.349

=====

Record 4
PBE-GGA Ba4InTe, relaxed; ΔE_f (raw) = 15 meV/atom; total magnetic moment = 0.00 μB per cell
1.0
0.000 5.120 5.120
5.120 0.000 5.120
5.120 5.120 0.000
Ba In Te
4 1 1
Cartesian
3.849 3.849 3.849
6.392 6.392 3.849
6.392 3.849 6.392
3.849 6.392 6.392
0.000 0.000 0.000
7.681 7.681 7.681

=====

Record 5
PBE-GGA SiGeAuS, relaxed; ΔE_f (raw) = -13 meV/atom; total magnetic moment = 0.00 μB per cell
1.0
5.264 0.000 0.000
0.000 3.518 0.000
-1.080 0.000 5.336
Si Ge Au S
1 1 1 1
Cartesian
0.000 0.000 0.000
3.602 0.000 1.809
3.676 1.759 3.675
2.128 0.000 0.048

=====

Record 6
PBE-GGA Ta3Cr, relaxed; E_form = 0.29 eV per atom; total magnetic moment = 0.00 μB per cell
1.0
1.502 0.867 8.769
-1.502 0.867 8.769
0.000 -1.735 8.769
Ta Cr
3 1
Cartesian
0.000 0.000 0.000
0.000 0.000 6.355
0.000 0.000 19.953
0.000 0.000 13.154

=====

Record 7
PBE-GGA K4GaBr5, relaxed; ΔE_f (raw) = -1505 meV/atom; total magnetic moment = 0.00 μB per cell
1.0
-5.241 5.241 3.334
5.241 -5.241 3.334
5.241 5.241 -3.334
K Ga Br
4 1 5
Cartesian
7.349 1.046 0.000
1.046 3.134 0.000
4.195 2.108 3.334
-2.108 4.195 3.334
0.000 0.000 3.246
0.000 0.000 0.347
4.229 2.157 -0.001
3.084 -1.012 3.333
2.157 6.253 -0.001
1.012 3.084 3.333

=====

Record 8
PBE-GGA PbWN3, relaxed; ΔE_f (raw) = 285 meV/atom; total magnetic moment = 0.00 μB per cell
1.0
4.036 0.000 0.000
0.000 4.036 0.000
0.000 0.000 4.036
Pb W N
1 1 3
Cartesian
0.000 0.000 0.000
2.018 2.018 2.018
0.000 2.018 2.018
2.018 0.000 2.018
2.018 2.018 0.000

=====

Record 9
PBE-GGA ThGa2Fe, relaxed; E_form = -0.41 eV per atom; total magnetic moment = 2.75 μB per cell
1.0
2.090 -8.907 0.000
2.090 8.907 0.000
0.000 0.000 4.163
Th Ga Fe
2 4 2
Cartesian
2.090 6.415 0.000
2.090 -6.415 0.000
0.000 0.000 2.082
2.090 3.734 2.082
2.090 0.000 0.000
2.090 -3.734 2.082
2.090 1.316 2.082
2.090 -1.316 2.082

=====

Record 10
PBE-GGA Tl3Re, relaxed; E_form = 0.69 eV per atom; total magnetic moment = 0.00 μB per cell
1.0
-1.488 2.424 7.260
1.488 -2.424 7.260
1.488 2.424 -7.260
Tl Re
3 1
Cartesian
0.000 0.000 0.000
1.488 0.000 4.634
0.000 2.424 2.626
0.000 0.000 7.260

=====

Record 11
PBE-GGA MgGeTeO6, relaxed; ΔE_f (raw) = -1615 meV/atom; total magnetic moment = 0.00 μB per cell
1.0
5.035 0.000 0.000
-2.517 4.360 0.000
0.000 0.000 9.242
Mg Ge Te O
2 2 2 12
Cartesian
0.000 0.000 0.000
0.000 0.000 4.621
0.000 2.907 2.310
2.517 1.453 6.931
0.000 2.907 6.931
2.517 1.453 2.310
-0.883 1.566 1.249
-1.602 2.813 3.372
0.883 1.566 3.372
-0.720 4.342 1.249
1.798 0.019 5.870
0.915 1.548 7.993
1.602 2.813 1.249
0.720 4.342 3.372
3.237 0.019 7.993
1.635 2.794 5.870
4.120 1.548 5.870
3.400 2.794 7.993

=====

Record 12
PBE-GGA BaZn2Br, relaxed; ΔE_f (raw) = -404 meV/atom; total magnetic moment = 0.00 μB per cell
1.0
4.667 0.000 0.000
0.000 4.686 0.000
0.000 0.000 6.235
Ba Zn Br
1 2 1
Cartesian
0.000 0.000 0.000
2.333 2.343 1.795
2.333 2.343 4.440
0.000 0.000 3.118

=====

Record 13
PBE-GGA LiSiAu3, relaxed; ΔE_f (raw) = -75 meV/atom; total magnetic moment = 0.00 μB per cell
1.0
4.800 0.000 0.000
0.000 4.800 0.000
0.000 0.000 4.800
Li Si Au
1 1 3
Cartesian
0.000 0.000 0.000
2.400 2.400 2.400
0.000 2.400 2.400
2.400 0.000 2.400
2.400 2.400 0.000

=====

Record 14
PBE-GGA Ca2AcCu9, relaxed; E_form = -0.12 eV per atom; total magnetic moment = 0.00 μB per cell
1.0
2.665 1.539 8.372
-2.665 1.539 8.372
0.000 -3.078 8.372
Ca Ac Cu
2 1 9
Cartesian
0.000 0.000 3.643
0.000 0.000 21.473
0.000 0.000 0.000
-1.308 -0.755 10.432
0.000 0.000 8.319
0.000 -1.510 14.684
-1.308 0.755 14.684
0.000 0.000 12.558
1.308 -0.755 10.432
0.000 1.510 10.432
0.000 0.000 16.796
1.308 0.755 14.684

=====

Record 15
PBE-GGA OF2, relaxed; ΔE_f (raw) = 16 meV/atom; total magnetic moment = 0.00 μB per cell
1.0
9.815 0.000 0.000
0.000 3.183 0.000
0.000 0.000 5.898
O F
4 8
Cartesian
1.158 0.796 0.593
3.749 2.387 3.542
6.066 0.796 2.356
8.657 2.387 5.305
0.448 0.796 1.836
2.370 2.387 3.917
2.537 0.796 0.968
4.459 2.387 4.785
5.356 0.796 1.113
7.278 2.387 4.930
7.445 0.796 1.981
9.367 2.387 4.062

=====

Record 16
PBE-GGA RbPm2Th, relaxed; E_form = 0.25 eV per atom; total magnetic moment = 0.00 μB per cell
1.0
1.842 1.063 13.493
-1.842 1.063 13.493
0.000 -2.126 13.493
Rb Pm Th
1 2 1
Cartesian
0.000 0.000 0.000
0.000 0.000 3.928
0.000 0.000 36.552
0.000 0.000 20.240

=====

Record 17
PBE-GGA CeB, relaxed; E_form = -0.29 eV per atom; total magnetic moment = 0.00 μB per cell
1.0
3.870 0.000 0.000
0.000 3.192 0.000
-1.396 0.000 5.171
Ce B
2 2
Cartesian
0.033 0.798 1.546
2.441 2.394 3.624
0.571 0.798 4.814
1.903 2.394 0.357

=====

Record 18
PBE-GGA Pu2ZnMo, relaxed; E_form = 0.49 eV per atom; total magnetic moment = 9.74 μB per cell
1.0
1.442 0.833 11.391
-1.442 0.833 11.391
0.000 -1.666 11.391
Pu Zn Mo
2 1 1
Cartesian
0.000 0.000 3.068
0.000 0.000 31.105
0.000 0.000 0.000
0.000 0.000 17.087

=====

Record 19
PBE-GGA Pa2Al4CdAu3, relaxed; E_form = -0.37 eV per atom; total magnetic moment = 0.86 μB per cell
1.0
4.319 0.000 0.000
0.000 4.319 0.000
0.000 0.000 10.745
Pa Al Cd Au
2 4 1 3
Cartesian
0.000 2.159 2.645
2.159 0.000 8.101
0.000 0.000 0.000
0.000 2.159 6.899
2.159 0.000 3.846
2.159 2.159 0.000
0.000 0.000 5.373
0.000 2.159 9.348
2.159 0.000 1.397
2.159 2.159 5.373

=====

Record 20
PBE-GGA Li8Zn2Ag, relaxed; E_form = -0.05 eV per atom; total magnetic moment = 0.00 μB per cell
1.0
3.687 -6.161 0.000
3.687 6.161 0.000
-2.085 0.000 4.320
Li Zn Ag
8 2 1
Cartesian
0.206 1.410 2.656
3.687 3.455 0.000
0.206 -1.410 2.656
2.478 0.000 0.801
2.812 0.000 3.520
5.084 1.410 1.664
3.687 -3.455 0.000
5.084 -1.410 1.664
2.645 2.327 2.160
2.645 -2.327 2.160
0.000 0.000 0.000

=====

Record 21
PBE-GGA GdUOsRh, relaxed; E_form = -0.26 eV per atom; total magnetic moment = 5.17 μB per cell
1.0
0.000 3.425 3.425
3.425 0.000 3.425
3.425 3.425 0.000
Gd U Os Rh
1 1 1 1
Cartesian
0.000 0.000 0.000
3.425 3.425 3.425
5.137 5.137 5.137
1.712 1.712 1.712

=====

Record 22
PBE-GGA Mn2SiAs, relaxed; ΔE_f (raw) = -71 meV/atom; total magnetic moment = 0.00 μB per cell
1.0
0.000 2.870 2.870
2.870 0.000 2.870
2.870 2.870 0.000
Mn Si As
2 1 1
Cartesian
1.435 1.435 1.435
4.305 4.305 4.305
0.000 0.000 0.000
2.870 2.870 2.870

=====

Record 23
PBE-GGA Rb2Cd10In, relaxed; E_form = 0.02 eV per atom; total magnetic moment = 0.00 μB per cell
1.0
10.599 0.000 0.000
0.000 11.345 0.000
0.000 0.000 7.048
Rb Cd In
4 20 2
Cartesian
2.340 0.488 0.000
2.960 6.160 0.000
7.640 5.185 0.000
8.259 10.857 0.000
0.347 1.457 3.524
0.588 3.564 1.431
0.588 3.564 5.617
2.047 7.938 3.524
2.476 10.724 3.524
2.823 5.051 3.524
3.253 2.266 3.524
4.712 9.236 1.431
4.712 9.236 5.617
4.953 7.129 3.524
5.646 4.216 3.524
5.887 2.109 1.431
5.887 2.109 5.617
7.347 9.079 3.524
7.776 6.294 3.524
8.123 0.621 3.524
8.552 3.407 3.524
10.012 7.781 1.431
10.012 7.781 5.617
10.253 9.889 3.524
0.000 5.673 3.524
5.300 0.000 3.524

=====

Record 24
PBE-GGA MnFe3Bi, relaxed; E_form = 1.00 eV per atom; total magnetic moment = 6.14 μB per cell
1.0
4.373 0.000 0.000
0.000 4.373 0.000
0.000 0.000 4.373
Mn Fe Bi
1 3 1
Cartesian
0.000 0.000 0.000
0.000 0.000 2.186
0.000 2.186 0.000
2.186 0.000 0.000
2.186 2.186 2.186

=====

Record 25
PBE-GGA PaPIr, relaxed; E_form = -0.57 eV per atom; total magnetic moment = 0.00 μB per cell
1.0
-1.864 1.864 4.254
1.864 -1.864 4.254
1.864 1.864 -4.254
Pa P Ir
1 1 1
Cartesian
0.000 0.000 0.000
0.000 0.000 5.517
0.000 0.000 3.067